# 1
Density functional theory data (PBE) for a relaxed structure of FeNiBr2.

The space group is R-3m (No. 166, hexagonal axes) and the conventional cell measures 3.5080, 3.5080 and 20.5291 Å, with angles of 90.00, 90.00 and 120.00 degrees. The inequivalent atoms are Fe at (0.0000, 0.0000, 0.0000), Ni at (0.0000, 0.0000, 0.5000) and Br at (0.0000, 0.0000, 0.2477).

=====

# 2
Density functional theory data (PBE) for a relaxed structure of FeNiBr2.

The space group is C2/m (No. 12) and the conventional cell measures 6.260, 3.607 and 7.936 Å, with angles of 90.00, 105.07 and 90.00 degrees. The inequivalent atoms are Fe at (0.000, 0.000, 0.000), Ni at (0.000, 0.500, 0.500) and Br at (0.100, 0.500, 0.796).

=====

# 3
Density functional theory data (PBE) for a relaxed structure of FeNiBr2.

The space group is R3m (No. 160, hexagonal axes) and the conventional cell measures 3.6987, 3.6987 and 22.5930 Å, with angles of 90.00, 90.00 and 120.00 degrees. The inequivalent atoms are Fe at (0.0000, 0.0000, 0.0000), Ni at (0.0000, 0.0000, 0.7157), Br at (0.0000, 0.0000, 0.2658) and Br at (0.0000, 0.0000, 0.4372).

=====

# 4
Density functional theory data (PBE) for a relaxed structure of Fe3NiBr.

The space group is Pm-3m (No. 221) and the conventional cell measures 4.317, 4.317 and 4.317 Å, with angles of 90.00, 90.00 and 90.00 degrees. The inequivalent atoms are Fe at (0.000, 0.000, 0.500), Ni at (0.500, 0.500, 0.500) and Br at (0.000, 0.000, 0.000).

=====

# 5
Density functional theory data (PBE) for a relaxed structure of Fe2NiBr6.

The space group is C2/c (No. 15) and the conventional cell measures 13.697, 14.303 and 6.713 Å, with angles of 90.00, 113.66 and 90.00 degrees. The inequivalent atoms are Fe at (0.217, 0.082, 0.360), Ni at (0.000, 0.295, 0.250), Br at (0.098, 0.397, 0.550), Br at (0.117, 0.207, 0.136) and Br at (0.164, 0.068, 0.667).

=====

# 6
Density functional theory data (PBE) for a relaxed structure of FeNiBr2.

The space group is Pm (No. 6) and the conventional cell measures 3.696, 3.589 and 7.035 Å, with angles of 90.00, 92.83 and 90.00 degrees. The inequivalent atoms are Fe at (0.000, 0.000, 0.000), Ni at (0.537, 0.500, 0.938), Br at (0.383, 0.000, 0.723) and Br at (0.861, 0.500, 0.239).

=====

# 7
Density functional theory data (PBE) for a relaxed structure of FeNiBr2.

The space group is Cm (No. 8) and the conventional cell measures 6.367, 3.677 and 7.550 Å, with angles of 90.00, 90.50 and 90.00 degrees. The inequivalent atoms are Fe at (0.000, 0.000, 0.000), Ni at (0.165, 0.500, 0.844), Br at (0.169, 0.500, 0.204) and Br at (0.330, 0.000, 0.678).

=====

# 8
Density functional theory data (PBE) for a relaxed structure of Fe2NiBr.

The space group is R3m (No. 160, hexagonal axes) and the conventional cell measures 3.0314, 3.0314 and 22.5632 Å, with angles of 90.00, 90.00 and 120.00 degrees. The inequivalent atoms are Fe at (0.0000, 0.0000, 0.0000), Fe at (0.0000, 0.0000, 0.2544), Ni at (0.0000, 0.0000, 0.5125) and Br at (0.0000, 0.0000, 0.7514).

=====

# 9
Density functional theory data (PBE) for a relaxed structure of FeNiBr2.

The space group is I-42d (No. 122) and the conventional cell measures 5.616, 5.616 and 11.211 Å, with angles of 90.00, 90.00 and 90.00 degrees. The inequivalent atoms are Fe at (0.000, 0.000, 0.000), Ni at (0.000, 0.000, 0.500) and Br at (0.242, 0.250, 0.625).

=====

# 10
Density functional theory data (PBE) for a relaxed structure of Fe2NiBr.

The space group is I-4m2 (No. 119) and the conventional cell measures 3.747, 3.747 and 7.982 Å, with angles of 90.00, 90.00 and 90.00 degrees. The inequivalent atoms are Fe at (0.000, 0.000, 0.000), Fe at (0.000, 0.500, 0.250), Ni at (0.000, 0.500, 0.750) and Br at (0.000, 0.000, 0.500).

=====

# 11
Density functional theory data (PBE) for a relaxed structure of FeNiBr2.

The space group is F-43m (No. 216) and the conventional cell measures 6.727, 6.727 and 6.727 Å, with angles of 90.00, 90.00 and 90.00 degrees. The inequivalent atoms are Fe at (0.000, 0.000, 0.000), Ni at (0.250, 0.250, 0.750), Br at (0.000, 0.000, 0.500) and Br at (0.250, 0.250, 0.250).

=====

# 12
Density functional theory data (PBE) for a relaxed structure of FeNiBr2.

The space group is P2/m (No. 10) and the conventional cell measures 4.911, 3.574 and 5.482 Å, with angles of 90.00, 90.45 and 90.00 degrees. The inequivalent atoms are Fe at (0.000, 0.000, 0.000), Ni at (0.500, 0.000, 0.000) and Br at (0.254, 0.500, 0.756).

=====

# 13
Density functional theory data (PBE) for a relaxed structure of Fe2NiBr.

The space group is P2/m (No. 10) and the conventional cell measures 3.329, 2.978 and 6.625 Å, with angles of 90.00, 90.08 and 90.00 degrees. The inequivalent atoms are Fe at (0.000, 0.000, 0.177), Ni at (0.500, 0.500, 0.000) and Br at (0.000, 0.500, 0.500).

=====

# 14
Density functional theory data (PBE) for a relaxed structure of Fe2NiBr.

The space group is Imm2 (No. 44) and the conventional cell measures 3.004, 4.435 and 8.413 Å, with angles of 90.00, 90.00 and 90.00 degrees. The inequivalent atoms are Fe at (0.000, 0.000, 0.000), Fe at (0.000, 0.500, 0.260), Ni at (0.000, 0.500, 0.755) and Br at (0.000, 0.000, 0.505).

=====

# 15
Density functional theory data (PBE) for a relaxed structure of FeNiBr.

The space group is I4mm (No. 107) and the conventional cell measures 3.053, 3.053 and 10.147 Å, with angles of 90.00, 90.00 and 90.00 degrees. The inequivalent atoms are Fe at (0.000, 0.000, 0.000), Ni at (0.000, 0.000, 0.369) and Br at (0.000, 0.000, 0.676).

=====

# 16
Density functional theory data (PBE) for a relaxed structure of FeNiBr4.

The space group is F-43m (No. 216) and the conventional cell measures 8.715, 8.715 and 8.715 Å, with angles of 90.00, 90.00 and 90.00 degrees. The inequivalent atoms are Fe at (0.000, 0.000, 0.000), Ni at (0.250, 0.250, 0.750) and Br at (0.124, 0.124, 0.376).

=====

# 17
Density functional theory data (PBE) for a relaxed structure of FeNi3Br.

The space group is Pm-3m (No. 221) and the conventional cell measures 4.406, 4.406 and 4.406 Å, with angles of 90.00, 90.00 and 90.00 degrees. The inequivalent atoms are Fe at (0.000, 0.000, 0.000), Ni at (0.000, 0.000, 0.500) and Br at (0.500, 0.500, 0.500).

=====

# 18
Density functional theory data (PBE) for a relaxed structure of Fe2NiBr.

The space group is Fm-3m (No. 225) and the conventional cell measures 6.034, 6.034 and 6.034 Å, with angles of 90.00, 90.00 and 90.00 degrees. The inequivalent atoms are Fe at (0.250, 0.250, 0.250), Ni at (0.000, 0.000, 0.000) and Br at (0.000, 0.000, 0.500).

=====

# 19
Density functional theory data (PBE) for a relaxed structure of FeNiBr.

The space group is P3m1 (No. 156) and the conventional cell measures 3.2946, 3.2946 and 5.4476 Å, with angles of 90.00, 90.00 and 120.00 degrees. The inequivalent atoms are Fe at (0.0000, 0.0000, 0.0000), Ni at (0.6667, 0.3333, 0.2536) and Br at (0.3333, 0.6667, 0.6507).

=====

# 20
Density functional theory data (PBE) for a relaxed structure of FeNiBr2.

The space group is P4/mmm (No. 123) and the conventional cell measures 3.267, 3.267 and 6.539 Å, with angles of 90.00, 90.00 and 90.00 degrees. The inequivalent atoms are Fe at (0.000, 0.000, 0.000), Ni at (0.000, 0.000, 0.500) and Br at (0.500, 0.500, 0.249).

=====

Calculated final energy, -4.03 -4.13 -4.45 -5.24 -4.01 -4.45 -4.45 -5.63 -4.20 -5.39 -3.53 -4.20 -5.77 -5.46 -4.77 -2.12 -4.44 -5.39 -4.91 -3.86 eV per atom (same order as the records).
Calculated N(E_F), 15.14 11.14 2.45 9.40 28.93 0.30 1.05 14.32 20.68 8.89 6.96 2.50 3.45 9.02 6.20 65.51 5.13 16.82 2.79 3.89 states/eV/cell (same order as the records).
Calculated uncorrected formation energy, 36 25 -5 128 -35 -5 -5 45 19 68 84 19 32 61 51 132 102 68 38 52 kJ per mole of atoms (same order as the records).